i | A plane-wave DFT calculation with PBE was carried out for a relaxed LiCoB2 crystal.

Computed properties:
Size of the total moment   0.00 μB per formula unit
Density of states at the Fermi level   7.6 states/eV per cell

abc: 4.9231 4.9231 4.9231
angles: 90.00 90.00 90.00
Space group Fm-3m (No. 225)
Asymmetric unit:
Li (0.0000, 0.0000, 0.0000) x4
Co (0.0000, 0.0000, 0.5000) x4
B (0.2500, 0.2500, 0.2500) x8

***

ii | A plane-wave DFT calculation with PBE was carried out for a relaxed LiCoB2 crystal.

Computed properties:
Size of the total moment   1.11 μB per formula unit
Density of states at the Fermi level   14.6 states/eV per cell

abc: 3.3631 3.3631 14.5112
angles: 90.00 90.00 90.00
Space group I4_1/amd (No. 141, origin choice 2)
Asymmetric unit:
Li (0.0000, 0.2500, 0.3750) x4
Co (0.0000, 0.2500, 0.8750) x4
B (0.0000, 0.0000, 0.0000) x8

***

Best to worst by energy: i, ii.